1.
Zr2TaZn after structural relaxation, computed with GGA-PBEsol.

abc: 3.0929 3.6948 6.5778
angles: 90.00 90.00 90.00
Positions (direct):
Zr (0.0000, 0.0000, 0.2436)
Zr (0.0000, 0.0000, 0.7564)
Ta (0.5000, 0.5000, 0.5000)
Zn (0.5000, 0.5000, 0.0000)



2.
ZrTaZn2 after structural relaxation, computed with GGA-PBEsol.

abc: 5.0392 5.0392 5.0129
angles: 99.73 99.73 33.27
Positions (direct):
Zr (0.0000, 0.0000, 0.0000)
Ta (0.5000, 0.5000, 0.5000)
Zn (0.2459, 0.2459, 0.7326)
Zn (0.7541, 0.7541, 0.2674)



3.
Zr2TaZn after structural relaxation, computed with GGA-PBEsol.

abc: 3.4109 3.4109 6.4459
angles: 90.00 90.00 90.00
Positions (direct):
Zr (0.0000, 0.0000, 0.2476)
Zr (0.0000, 0.0000, 0.7524)
Ta (0.5000, 0.5000, 0.5000)
Zn (0.5000, 0.5000, 0.0000)



4.
Zr3TaZn after structural relaxation, computed with GGA-PBEsol.

abc: 5.0276 5.0276 5.0276
angles: 90.00 90.00 90.00
Positions (direct):
Zr (0.0000, 0.0000, 0.5000)
Zr (0.0000, 0.5000, 0.0000)
Zr (0.5000, 0.0000, 0.0000)
Ta (0.0000, 0.0000, 0.0000)
Zn (0.5000, 0.5000, 0.5000)



5.
ZrTa2 after structural relaxation, computed with GGA-PBEsol.

Output
The polymorph energy (0 for the lowest one) is 35 meV per atom.

abc: 5.6617 5.6617 5.6617
angles: 145.72 145.72 49.27
Positions (direct):
Zr (0.0000, 0.0000, 0.0000)
Ta (0.3197, 0.3197, 0.0000)
Ta (0.6803, 0.6803, 0.0000)



6.
ZrTa2 after structural relaxation, computed with GGA-PBEsol.

Output
The polymorph energy (0 for the lowest one) is 0 meV per atom.

abc: 5.5296 5.5296 17.7087
angles: 90.00 90.00 120.00
Positions (direct):
Zr (0.0000, 0.0000, 0.0937)
Zr (0.0000, 0.0000, 0.4063)
Zr (0.0000, 0.0000, 0.5937)
Zr (0.0000, 0.0000, 0.9063)
Zr (0.3333, 0.6667, 0.1566)
Zr (0.3333, 0.6667, 0.3434)
Zr (0.6667, 0.3333, 0.6566)
Zr (0.6667, 0.3333, 0.8434)
Ta (0.0000, 0.5000, 0.0000)
Ta (0.0000, 0.5000, 0.5000)
Ta (0.1621, 0.3242, 0.7500)
Ta (0.1621, 0.8379, 0.7500)
Ta (0.3242, 0.1621, 0.2500)
Ta (0.3333, 0.6667, 0.6262)
Ta (0.3333, 0.6667, 0.8738)
Ta (0.5000, 0.0000, 0.0000)
Ta (0.5000, 0.0000, 0.5000)
Ta (0.5000, 0.5000, 0.0000)
Ta (0.5000, 0.5000, 0.5000)
Ta (0.6667, 0.3333, 0.1262)
Ta (0.6667, 0.3333, 0.3738)
Ta (0.6758, 0.8379, 0.7500)
Ta (0.8379, 0.1621, 0.2500)
Ta (0.8379, 0.6758, 0.2500)



7.
ZrTa2 after structural relaxation, computed with GGA-PBEsol.

Output
The polymorph energy (0 for the lowest one) is 35 meV per atom.

abc: 5.5279 5.5279 6.9182
angles: 108.60 108.60 34.95
Positions (direct):
Zr (0.1608, 0.1608, 0.0856)
Zr (0.8392, 0.8392, 0.9144)
Ta (0.1653, 0.1653, 0.5733)
Ta (0.4972, 0.4972, 0.2760)
Ta (0.5028, 0.5028, 0.7240)
Ta (0.8347, 0.8347, 0.4267)



8.
ZrTa2 after structural relaxation, computed with GGA-PBEsol.

Output
The polymorph energy (0 for the lowest one) is 21 meV per atom.

abc: 5.4985 5.4985 5.4985
angles: 60.00 60.00 60.00
Positions (direct):
Zr (0.1250, 0.1250, 0.1250)
Zr (0.8750, 0.8750, 0.8750)
Ta (0.0000, 0.5000, 0.5000)
Ta (0.5000, 0.0000, 0.5000)
Ta (0.5000, 0.5000, 0.0000)
Ta (0.5000, 0.5000, 0.5000)



9.
ZrTa after structural relaxation, computed with GGA-PBEsol.

abc: 5.6448 5.6448 6.8509
angles: 107.11 107.11 34.86
Positions (direct):
Zr (0.0000, 0.0000, 0.0000)
Zr (0.0086, 0.0086, 0.5050)
Zr (0.6911, 0.6911, 0.8530)
Ta (0.3248, 0.3248, 0.6352)
Ta (0.3380, 0.3380, 0.1933)
Ta (0.6789, 0.6789, 0.3300)



10.
ZrTa after structural relaxation, computed with GGA-PBEsol.

abc: 5.6046 5.6046 4.8606
angles: 115.56 115.56 35.49
Positions (direct):
Zr (0.1189, 0.1189, 0.3555)
Zr (0.8811, 0.8811, 0.6445)
Ta (0.3587, 0.3587, 0.1315)
Ta (0.6413, 0.6413, 0.8685)



11.
ZrTa after structural relaxation, computed with GGA-PBEsol.

abc: 3.3297 3.3297 7.1539
angles: 90.00 90.00 90.00
Positions (direct):
Zr (0.2500, 0.2500, 0.1436)
Zr (0.7500, 0.7500, 0.8564)
Ta (0.2500, 0.2500, 0.6021)
Ta (0.7500, 0.7500, 0.3979)



12.
TbTc2 after structural relaxation, computed with GGA-PBEsol.

abc: 5.3044 5.3044 8.7741
angles: 90.00 90.00 120.00
Positions (direct):
Tb (0.3333, 0.6667, 0.0629)
Tb (0.3333, 0.6667, 0.4371)
Tb (0.6667, 0.3333, 0.5629)
Tb (0.6667, 0.3333, 0.9371)
Tc (0.0000, 0.0000, 0.0000)
Tc (0.0000, 0.0000, 0.5000)
Tc (0.1709, 0.3418, 0.7500)
Tc (0.1709, 0.8291, 0.7500)
Tc (0.3418, 0.1709, 0.2500)
Tc (0.6582, 0.8291, 0.7500)
Tc (0.8291, 0.1709, 0.2500)
Tc (0.8291, 0.6582, 0.2500)



| no. | calculated formation energy (eV per atom) | total energy (eV for the cell shown) | spin magnetization (μB per formula unit) |
| --- | --- | --- | --- |
| 1 | -0.089 | -32.67 | 0.00 |
| 2 | 0.081 | -24.48 | 0.00 |
| 3 | -0.076 | -32.62 | 0.00 |
| 4 | 1.058 | -36.11 | 0.00 |
| 5 | 0.088 | -33.93 | 0.00 |
| 6 | 0.053 | -272.27 | 0.00 |
| 7 | 0.088 | -67.86 | 0.00 |
| 8 | 0.074 | -67.94 | 0.00 |
| 9 | 0.109 | -64.27 | 0.00 |
| 10 | 0.122 | -42.79 | 0.00 |
| 11 | 0.070 | -43.00 | 0.00 |
| 12 | -0.124 | -111.65 | 0.00 |